(1)
SrCoGeSb2 after structural relaxation, computed with GGA-PBEsol.

Summary:
crystal system = tetragonal
uncorrected formation energy = -0.1758 eV/atom

a = 4.4646 Å, b = 5.1770 Å, c = 5.1770 Å
α = 90.00°, β = 90.00°, γ = 90.00°
Last column: nearest neighbours and their distance in Å.
Sites, in units of the cell vectors:
Sb1 0.0000 0.0000 0.5000  2 Co 2.59
Sb2 0.0000 0.5000 0.0000  2 Co 2.59
Ge1 0.5000 0.0000 0.0000  2 Co 2.23
Co1 0.0000 0.0000 0.0000  2 Ge 2.23
Sr1 0.5000 0.5000 0.5000  8 Sb 3.42, 4 Ge 3.66

=====

(2)
CeTaO4 after structural relaxation, computed with GGA-PBEsol.

Summary:
crystal system = monoclinic
uncorrected formation energy = -3.1553 eV/atom

a = 5.4114 Å, b = 7.5897 Å, c = 7.7004 Å
α = 99.69°, β = 90.00°, γ = 90.00°
Last column: nearest neighbours and their distance in Å.
Sites, in units of the cell vectors:
Ce1 0.7243 0.6488 0.3978  6 O 2.29-2.47
Ce2 0.2757 0.3512 0.6022  6 O 2.29-2.47
Ce3 0.7757 0.6488 0.8978  6 O 2.29-2.47
Ce4 0.2243 0.3512 0.1022  6 O 2.29-2.47
O1 0.8489 0.1694 0.0581  2 Ta 2.00-2.01
O2 0.0078 0.6626 0.6288  1 Ta 1.94
O3 0.5072 0.3872 0.3334  1 Ta 2.05, 1 Ce 2.29
O4 0.5078 0.3374 0.8712  1 Ta 1.94
O5 0.5982 0.9378 0.7975  2 Ta 1.95-2.04
O6 0.4922 0.6626 0.1288  1 Ta 1.94
O7 0.3489 0.8306 0.4419  2 Ta 2.00-2.01
O8 0.4018 0.0622 0.2025  2 Ta 1.95-2.04
O9 0.0072 0.6128 0.1666  1 Ta 2.05, 1 Ce 2.29
O10 0.0982 0.0622 0.7025  2 Ta 1.95-2.04
O11 0.6511 0.1694 0.5581  2 Ta 2.00-2.01
O12 0.9928 0.3872 0.8334  1 Ta 2.05, 1 Ce 2.29
O13 0.9018 0.9378 0.2975  2 Ta 1.95-2.04
O14 0.4928 0.6128 0.6666  1 Ta 2.05, 1 Ce 2.29
O15 0.9922 0.3374 0.3712  1 Ta 1.94
O16 0.1511 0.8306 0.9419  2 Ta 2.00-2.01
Ta1 0.7701 0.1652 0.8042  6 O 1.94-2.05
Ta2 0.7299 0.1652 0.3042  6 O 1.94-2.05
Ta3 0.2701 0.8348 0.6958  6 O 1.94-2.05
Ta4 0.2299 0.8348 0.1958  6 O 1.94-2.05

=====

(3)
BTe2P after structural relaxation, computed with GGA-PBEsol.

Summary:
crystal system = trigonal
uncorrected formation energy = 1.0070 eV/atom

a = 3.9417 Å, b = 3.9417 Å, c = 7.9478 Å
α = 75.64°, β = 75.64°, γ = 60.00°
Last column: nearest neighbours and their distance in Å.
Sites, in units of the cell vectors:
P1 0.5000 0.5000 0.5000  6 Te 2.86
B1 0.0000 0.0000 0.0000  2 Te 2.08
Te1 0.9088 0.9088 0.2736  1 B 2.08
Te2 0.0912 0.0912 0.7264  1 B 2.08